No. 1
# Ba6As2SeCl3 | Alexandria via LeMat-Bulk | GGA-PBE | relaxed
# size of the total moment = 0.000 μB/f.u.
# energy relative to the elements, uncorrected = -21.46 eV per formula unit
# calculated volume = 880.04 Å³ per cell
data_Ba6As2SeCl3
_chemical_formula_sum 'Ba12 As4 Se2 Cl6'
_cell_length_a 20.385
_cell_length_b 4.731
_cell_length_c 9.337
_cell_angle_alpha 90.00
_cell_angle_beta 102.26
_cell_angle_gamma 90.00
_space_group_name_H-M_alt 'C 1 2/m 1'
_space_group_IT_number 12
_space_group_name_Hall '-C 2y'
loop_
_atom_site_label
_atom_site_type_symbol
_atom_site_fract_x
_atom_site_fract_y
_atom_site_fract_z
Ba1 Ba 0.005 0.000 0.246
Ba2 Ba 0.165 0.500 0.096
Ba3 Ba 0.171 0.500 0.572
As1 As 0.165 0.000 0.330
Se1 Se 0.000 0.500 0.000
Cl1 Cl 0.000 0.500 0.500
Cl2 Cl 0.165 0.000 0.834

***

No. 2
# Er12ThTl3 | Alexandria via LeMat-Bulk | GGA-PBE | relaxed
# energy relative to the elements = -108 meV/atom
# size of the total moment = 0.004 μB/f.u.
# calculated volume = 458.77 Å³ per cell
data_Er12ThTl3
_chemical_formula_sum 'Er12 Th1 Tl3'
_cell_length_a 4.839
_cell_length_b 4.839
_cell_length_c 19.595
_cell_angle_alpha 90.00
_cell_angle_beta 90.00
_cell_angle_gamma 90.00
_space_group_name_H-M_alt 'P 4/m m m'
_space_group_IT_number 123
_space_group_name_Hall '-P 4 2'
loop_
_atom_site_label
_atom_site_type_symbol
_atom_site_fract_x
_atom_site_fract_y
_atom_site_fract_z
Er1 Er 0.000 0.000 0.000
Er2 Er 0.000 0.000 0.245
Er3 Er 0.000 0.000 0.500
Er4 Er 0.000 0.500 0.123
Er5 Er 0.000 0.500 0.371
Th1 Th 0.500 0.500 0.500
Tl1 Tl 0.500 0.500 0.000
Tl2 Tl 0.500 0.500 0.244